1.
# SCAN CuSe2BrO, PBEsol geometry
# energy above the most stable polymorph in this dataset	0.0	meV/atom
# symmetry	P4/mmm, No. 123
# formation energy (no corrections)	2.215	eV per formula unit
# M_tot	0.00	μB per formula unit
data_CuSe2BrO
_symmetry_space_group_name_H-M 'P 1'
_symmetry_Int_Tables_number 1
_cell_length_a 3.988
_cell_length_b 3.988
_cell_length_c 6.485
_cell_angle_alpha 90.00
_cell_angle_beta 90.00
_cell_angle_gamma 90.00
loop_
_symmetry_equiv_pos_as_xyz
'x,y,z'
loop_
_atom_site_label
_atom_site_type_symbol
_atom_site_fract_x
_atom_site_fract_y
_atom_site_fract_z
Se1 Se 0.500 0.000 0.000
Se2 Se 0.000 0.500 0.000
O1 O 0.000 0.000 0.000
Br1 Br 0.000 0.000 0.500
Cu1 Cu 0.500 0.500 0.500

2.
# SCAN ScCd2Os, PBEsol geometry
# energy above the most stable polymorph in this dataset	27.2	meV/atom
# symmetry	R3m, No. 160
# M_tot	0.00	μB per formula unit
# ΔH_f (0 K)	0.081	eV per atom
data_ScCd2Os
_symmetry_space_group_name_H-M 'P 1'
_symmetry_Int_Tables_number 1
_cell_length_a 3.057
_cell_length_b 3.057
_cell_length_c 9.446
_cell_angle_alpha 80.69
_cell_angle_beta 80.69
_cell_angle_gamma 60.00
loop_
_symmetry_equiv_pos_as_xyz
'x,y,z'
loop_
_atom_site_label
_atom_site_type_symbol
_atom_site_fract_x
_atom_site_fract_y
_atom_site_fract_z
Cd1 Cd 0.756 0.756 0.731
Cd2 Cd 0.999 0.999 0.003
Os1 Os 0.505 0.505 0.486
Sc1 Sc 0.240 0.240 0.280

3.
# SCAN K2IrPt, PBEsol geometry
# energy above the most stable polymorph in this dataset	230.4	meV/atom
# symmetry	R-3m, No. 166
# M_tot	0.00	μB per formula unit
# ΔH_f (0 K)	0.487	eV per atom
data_K2IrPt
_symmetry_space_group_name_H-M 'P 1'
_symmetry_Int_Tables_number 1
_cell_length_a 2.835
_cell_length_b 2.835
_cell_length_c 10.913
_cell_angle_alpha 82.54
_cell_angle_beta 82.54
_cell_angle_gamma 60.00
loop_
_symmetry_equiv_pos_as_xyz
'x,y,z'
loop_
_atom_site_label
_atom_site_type_symbol
_atom_site_fract_x
_atom_site_fract_y
_atom_site_fract_z
K1 K 0.250 0.250 0.250
Ir1 Ir 0.000 0.000 0.000
K2 K 0.750 0.750 0.750
Pt1 Pt 0.500 0.500 0.500

4.
# SCAN Na2CdTe, PBEsol geometry
# symmetry	I-42d, No. 122
# formation energy (no corrections)	-1.336	eV per formula unit
# M_tot	0.00	μB per formula unit
data_Na2CdTe
_symmetry_space_group_name_H-M 'P 1'
_symmetry_Int_Tables_number 1
_cell_length_a 5.600
_cell_length_b 5.600
_cell_length_c 10.105
_cell_angle_alpha 106.09
_cell_angle_beta 106.09
_cell_angle_gamma 90.00
loop_
_symmetry_equiv_pos_as_xyz
'x,y,z'
loop_
_atom_site_label
_atom_site_type_symbol
_atom_site_fract_x
_atom_site_fract_y
_atom_site_fract_z
Cd1 Cd 0.500 0.500 0.000
Te1 Te 0.000 0.000 0.000
Cd2 Cd 0.750 0.250 0.500
Na1 Na 0.625 0.668 0.750
Na2 Na 0.125 0.082 0.750
Na3 Na 0.332 0.875 0.250
Na4 Na 0.918 0.375 0.250
Te2 Te 0.250 0.750 0.500

5.
# SCAN Tb, PBEsol geometry
# energy above the most stable polymorph in this dataset	15.3	meV/atom
# symmetry	P6_3/mmc, No. 194
# M_tot	0.10	μB per formula unit
# ΔH_f (0 K)	0.015	eV per atom
data_Tb
_symmetry_space_group_name_H-M 'P 1'
_symmetry_Int_Tables_number 1
_cell_length_a 3.535
_cell_length_b 3.535
_cell_length_c 5.577
_cell_angle_alpha 90.00
_cell_angle_beta 90.00
_cell_angle_gamma 120.00
loop_
_symmetry_equiv_pos_as_xyz
'x,y,z'
loop_
_atom_site_label
_atom_site_type_symbol
_atom_site_fract_x
_atom_site_fract_y
_atom_site_fract_z
Tb1 Tb 0.333 0.667 0.250
Tb2 Tb 0.667 0.333 0.750

6.
# SCAN Au2NF, PBEsol geometry
# symmetry	I-42d, No. 122
# formation energy (no corrections)	1.792	eV per formula unit
# M_tot	0.00	μB per formula unit
data_Au2NF
_symmetry_space_group_name_H-M 'P 1'
_symmetry_Int_Tables_number 1
_cell_length_a 4.724
_cell_length_b 4.724
_cell_length_c 6.866
_cell_angle_alpha 110.12
_cell_angle_beta 110.12
_cell_angle_gamma 90.00
loop_
_symmetry_equiv_pos_as_xyz
'x,y,z'
loop_
_atom_site_label
_atom_site_type_symbol
_atom_site_fract_x
_atom_site_fract_y
_atom_site_fract_z
Au1 Au 0.625 0.505 0.750
N1 N 0.750 0.250 0.500
N2 N 0.500 0.500 0.000
Au2 Au 0.495 0.875 0.250
F1 F 0.000 0.000 0.000
Au3 Au 0.755 0.375 0.250
F2 F 0.250 0.750 0.500
Au4 Au 0.125 0.245 0.750

7.
# SCAN HgRhCl2, PBEsol geometry
# energy above the most stable polymorph in this dataset	352.7	meV/atom
# symmetry	P4/mmm, No. 123
# formation energy (no corrections)	1.545	eV per formula unit
# M_tot	2.26	μB per formula unit
data_HgRhCl2
_symmetry_space_group_name_H-M 'P 1'
_symmetry_Int_Tables_number 1
_cell_length_a 3.331
_cell_length_b 4.688
_cell_length_c 4.688
_cell_angle_alpha 90.00
_cell_angle_beta 90.00
_cell_angle_gamma 90.00
loop_
_symmetry_equiv_pos_as_xyz
'x,y,z'
loop_
_atom_site_label
_atom_site_type_symbol
_atom_site_fract_x
_atom_site_fract_y
_atom_site_fract_z
Hg1 Hg 0.500 0.500 0.500
Rh1 Rh 0.500 0.000 0.000
Cl1 Cl 0.000 0.500 0.000
Cl2 Cl 0.000 0.000 0.500

8.
# SCAN NaInCl2, PBEsol geometry
# symmetry	I-42d, No. 122
# formation energy (no corrections)	-5.352	eV per formula unit
# M_tot	0.00	μB per formula unit
data_NaInCl2
_symmetry_space_group_name_H-M 'P 1'
_symmetry_Int_Tables_number 1
_cell_length_a 7.505
_cell_length_b 7.505
_cell_length_c 6.651
_cell_angle_alpha 124.34
_cell_angle_beta 124.34
_cell_angle_gamma 90.00
loop_
_symmetry_equiv_pos_as_xyz
'x,y,z'
loop_
_atom_site_label
_atom_site_type_symbol
_atom_site_fract_x
_atom_site_fract_y
_atom_site_fract_z
In1 In 0.250 0.750 0.500
In2 In 0.000 0.000 0.000
Cl1 Cl 0.625 0.588 0.750
Cl2 Cl 0.838 0.375 0.250
Na1 Na 0.500 0.500 0.000
Na2 Na 0.750 0.250 0.500
Cl3 Cl 0.125 0.162 0.750
Cl4 Cl 0.412 0.875 0.250

9.
# SCAN ZrTlPt, PBEsol geometry
# symmetry	F-43m, No. 216
# M_tot	0.00	μB per formula unit
# ΔH_f (0 K)	-0.225	eV per atom
data_ZrTlPt
_symmetry_space_group_name_H-M 'P 1'
_symmetry_Int_Tables_number 1
_cell_length_a 4.585
_cell_length_b 4.585
_cell_length_c 4.585
_cell_angle_alpha 60.00
_cell_angle_beta 60.00
_cell_angle_gamma 60.00
loop_
_symmetry_equiv_pos_as_xyz
'x,y,z'
loop_
_atom_site_label
_atom_site_type_symbol
_atom_site_fract_x
_atom_site_fract_y
_atom_site_fract_z
Pt1 Pt 0.000 0.000 0.000
Zr1 Zr 0.750 0.750 0.750
Tl1 Tl 0.500 0.500 0.500

10.
# SCAN InGeRu3, PBEsol geometry
# symmetry	Pm-3m, No. 221
# M_tot	5.82	μB per formula unit
# ΔH_f (0 K)	2.132	eV per atom
data_InGeRu3
_symmetry_space_group_name_H-M 'P 1'
_symmetry_Int_Tables_number 1
_cell_length_a 4.776
_cell_length_b 4.776
_cell_length_c 4.776
_cell_angle_alpha 90.00
_cell_angle_beta 90.00
_cell_angle_gamma 90.00
loop_
_symmetry_equiv_pos_as_xyz
'x,y,z'
loop_
_atom_site_label
_atom_site_type_symbol
_atom_site_fract_x
_atom_site_fract_y
_atom_site_fract_z
Ru1 Ru 0.000 0.500 0.000
Ge1 Ge 0.500 0.500 0.500
Ru2 Ru 0.000 0.000 0.500
In1 In 0.000 0.000 0.000
Ru3 Ru 0.500 0.000 0.000

11.
# SCAN Zr5Ti7O24, PBEsol geometry
# energy above the most stable polymorph in this dataset	13.7	meV/atom
# symmetry	P2, No. 3
# formation energy (no corrections)	-125.760	eV per formula unit
# M_tot	0.00	μB per formula unit
data_Zr5Ti7O24
_symmetry_space_group_name_H-M 'P 1'
_symmetry_Int_Tables_number 1
_cell_length_a 4.840
_cell_length_b 5.372
_cell_length_c 14.843
_cell_angle_alpha 90.00
_cell_angle_beta 92.93
_cell_angle_gamma 90.00
loop_
_symmetry_equiv_pos_as_xyz
'x,y,z'
loop_
_atom_site_label
_atom_site_type_symbol
_atom_site_fract_x
_atom_site_fract_y
_atom_site_fract_z
O1 O 0.726 0.412 0.889
Ti1 Ti 0.471 0.704 0.836
Zr1 Zr 0.972 0.766 0.665
O2 O 0.233 0.561 0.586
O3 O 0.248 0.901 0.448
O4 O 0.270 0.104 0.274
O5 O 0.708 0.923 0.898
O6 O 0.182 0.113 0.933
Ti2 Ti 0.536 0.309 0.330
O7 O 0.279 0.598 0.937
Ti3 Ti 0.966 0.202 0.827
O8 O 0.274 0.412 0.111
O9 O 0.803 0.410 0.238
O10 O 0.354 0.616 0.271
O11 O 0.721 0.598 0.063
Zr2 Zr 0.000 0.804 0.000
O12 O 0.785 0.083 0.384
O13 O 0.288 0.408 0.423
O14 O 0.712 0.408 0.577
O15 O 0.818 0.113 0.067
O16 O 0.197 0.410 0.762
Ti4 Ti 0.529 0.704 0.164
Zr3 Zr 0.028 0.766 0.335
O17 O 0.646 0.616 0.729
O18 O 0.292 0.923 0.102
Zr4 Zr 0.500 0.287 0.000
O19 O 0.767 0.561 0.414
O20 O 0.215 0.083 0.616
O21 O 0.817 0.894 0.218
O22 O 0.752 0.901 0.552
Ti5 Ti 0.464 0.309 0.670
Zr5 Zr 0.000 0.224 0.500
O23 O 0.183 0.894 0.782
Ti6 Ti 0.034 0.202 0.173
O24 O 0.730 0.104 0.726
Ti7 Ti 0.500 0.674 0.500

12.
# SCAN SiTcSb2, PBEsol geometry
# symmetry	I-4m2, No. 119
# formation energy (no corrections)	2.981	eV per formula unit
# M_tot	0.00	μB per formula unit
data_SiTcSb2
_symmetry_space_group_name_H-M 'P 1'
_symmetry_Int_Tables_number 1
_cell_length_a 4.606
_cell_length_b 4.794
_cell_length_c 4.606
_cell_angle_alpha 61.29
_cell_angle_beta 90.00
_cell_angle_gamma 118.71
loop_
_symmetry_equiv_pos_as_xyz
'x,y,z'
loop_
_atom_site_label
_atom_site_type_symbol
_atom_site_fract_x
_atom_site_fract_y
_atom_site_fract_z
Tc1 Tc 0.750 0.500 0.750
Sb1 Sb 0.250 0.500 0.250
Sb2 Sb 0.000 0.000 0.000
Si1 Si 0.500 0.000 0.500